## one
Computed, not measured: an optimized crystal structure of TcNiAu at the PBE level of DFT.

abc: 5.4784 2.7770 11.8866
angles: 90.00 103.69 90.00
Closest atoms and distances in Å follow each position.
Atoms (fractional coordinates):
Tc  0.4001  0.0000  0.3142  4 Tc 2.50-2.78, 3 Ni 2.51-2.64
Tc  0.5999  0.0000  0.6858  4 Tc 2.50-2.78, 3 Ni 2.51-2.64
Tc  0.4001  0.5000  0.8142  4 Tc 2.50-2.78, 3 Ni 2.51-2.64
Tc  0.5999  0.5000  0.1858  4 Tc 2.50-2.78, 3 Ni 2.51-2.64
Ni  0.9226  0.0000  0.3219  4 Ni 2.50-2.78, 3 Tc 2.51-2.64
Ni  0.0774  0.0000  0.6781  4 Ni 2.50-2.78, 3 Tc 2.51-2.64
Ni  0.9226  0.5000  0.8219  4 Ni 2.50-2.78, 3 Tc 2.51-2.64
Ni  0.0774  0.5000  0.1781  4 Ni 2.50-2.78, 3 Tc 2.51-2.64
Au  0.2496  0.0000  0.0035  4 Au 2.72-2.78, 4 Ni 2.82-2.84, 4 Tc 2.89-2.92
Au  0.7504  0.0000  0.9965  4 Au 2.72-2.78, 4 Ni 2.82-2.84, 4 Tc 2.89-2.92
Au  0.2496  0.5000  0.5035  4 Au 2.72-2.78, 4 Ni 2.82-2.84, 4 Tc 2.89-2.92
Au  0.7504  0.5000  0.4965  4 Au 2.72-2.78, 4 Ni 2.82-2.84, 4 Tc 2.89-2.92

Calculated values
* V: 44 Å³/f.u.
* SG: C2/m (12)



## two
Computed, not measured: an optimized crystal structure of TcNiAu at the PBE level of DFT.

abc: 6.4005 2.7592 10.2341
angles: 90.00 104.81 90.00
Closest atoms and distances in Å follow each position.
Atoms (fractional coordinates):
Tc  0.6107  0.0000  0.6873  4 Ni 2.53-2.72, 4 Tc 2.55-2.76
Tc  0.3893  0.0000  0.3127  4 Ni 2.53-2.72, 4 Tc 2.55-2.76
Tc  0.6107  0.5000  0.1873  4 Ni 2.53-2.72, 4 Tc 2.55-2.76
Tc  0.3893  0.5000  0.8127  4 Ni 2.53-2.72, 4 Tc 2.55-2.76
Ni  0.3238  0.0000  0.0276  1 Ni 2.46, 4 Tc 2.53-2.72
Ni  0.6762  0.0000  0.9724  1 Ni 2.46, 4 Tc 2.53-2.72
Ni  0.3238  0.5000  0.5276  1 Ni 2.46, 4 Tc 2.53-2.72
Ni  0.6762  0.5000  0.4724  1 Ni 2.46, 4 Tc 2.53-2.72
Au  0.0309  0.0000  0.6361  5 Au 2.71-2.82, 4 Ni 2.78-2.81, 3 Tc 2.87-2.88
Au  0.9691  0.0000  0.3639  5 Au 2.71-2.82, 4 Ni 2.78-2.81, 3 Tc 2.87-2.88
Au  0.0309  0.5000  0.1361  5 Au 2.71-2.82, 4 Ni 2.78-2.81, 3 Tc 2.87-2.88
Au  0.9691  0.5000  0.8639  5 Au 2.71-2.82, 4 Ni 2.78-2.81, 3 Tc 2.87-2.88

Calculated values
* V: 44 Å³/f.u.
* SG: C2/m (12)



Quick look at relative energies in eV/atom: one 0.000; two 0.023.



## one
Computed, not measured: an optimized crystal structure of TcNiAu at the PBE level of DFT.

abc: 6.1281 6.1284 2.7339
angles: 77.11 77.12 25.78
Closest atoms and distances in Å follow each position.
Atoms (fractional coordinates):
Au  0.9947  0.9947  0.0053  4 Au 2.73, 4 Ni 2.78, 4 Tc 2.92
Ni  0.3226  0.3226  0.6774  4 Tc 2.53, 4 Ni 2.73, 4 Au 2.78
Tc  0.6827  0.6827  0.3173  4 Ni 2.53, 4 Tc 2.73

Calculated values
* V: 43 Å³/f.u.
* SG: I4mm (107)



## two
Computed, not measured: an optimized crystal structure of TcNiAu at the PBE level of DFT.

abc: 2.7285 14.9147 4.3524
angles: 90.00 90.00 90.00
Closest atoms and distances in Å follow each position.
Atoms (fractional coordinates):
Tc  0.0000  0.5445  0.2500  4 Tc 2.55-2.73, 6 Ni 2.57-2.70, 2 Au 2.81
Tc  0.0000  0.4555  0.7500  4 Tc 2.55-2.73, 6 Ni 2.57-2.70, 2 Au 2.81
Tc  0.5000  0.0445  0.2500  4 Tc 2.55-2.73, 6 Ni 2.57-2.70, 2 Au 2.81
Tc  0.5000  0.9555  0.7500  4 Tc 2.55-2.73, 6 Ni 2.57-2.70, 2 Au 2.81
Ni  0.0000  0.8987  0.2500  6 Tc 2.57-2.70, 2 Au 2.71, 2 Ni 2.73
Ni  0.0000  0.1013  0.7500  6 Tc 2.57-2.70, 2 Au 2.71, 2 Ni 2.73
Ni  0.5000  0.3987  0.2500  6 Tc 2.57-2.70, 2 Au 2.71, 2 Ni 2.73
Ni  0.5000  0.6013  0.7500  6 Tc 2.57-2.70, 2 Au 2.71, 2 Ni 2.73
Au  0.0000  0.2091  0.2500  2 Ni 2.71, 6 Au 2.73-2.84, 2 Tc 2.81
Au  0.0000  0.7909  0.7500  2 Ni 2.71, 6 Au 2.73-2.84, 2 Tc 2.81
Au  0.5000  0.7091  0.2500  2 Ni 2.71, 6 Au 2.73-2.84, 2 Tc 2.81
Au  0.5000  0.2909  0.7500  2 Ni 2.71, 6 Au 2.73-2.84, 2 Tc 2.81

Calculated values
* V: 44 Å³/f.u.
* SG: Cmcm (63)



## three
Computed, not measured: an optimized crystal structure of TcNiAu at the PBE level of DFT.

abc: 2.7946 4.5793 7.0992
angles: 102.27 100.83 90.12
Closest atoms and distances in Å follow each position.
Atoms (fractional coordinates):
Tc  0.2071  0.7531  0.4961  3 Ni 2.52-2.58, 5 Tc 2.54-2.79
Tc  0.7929  0.2469  0.5039  3 Ni 2.52-2.58, 5 Tc 2.54-2.79
Ni  0.4149  0.1896  0.7990  3 Tc 2.52-2.58, 6 Au 2.68-2.75, 2 Ni 2.79
Ni  0.5851  0.8104  0.2010  3 Tc 2.52-2.58, 6 Au 2.68-2.75, 2 Ni 2.79
Au  0.0754  0.2924  0.1452  6 Ni 2.68-2.75, 3 Au 2.79-2.99, 3 Tc 2.85-2.98
Au  0.9246  0.7076  0.8548  6 Ni 2.68-2.75, 3 Au 2.79-2.99, 3 Tc 2.85-2.98

Calculated values
* V: 44 Å³/f.u.
* SG: P-1 (2)



Quick look at relative energies in eV/atom: one 0.038; two 0.000; three 0.021.



## one
Computed, not measured: an optimized crystal structure of NiTe2Au at the PBE level of DFT.

abc: 3.7811 6.2532 3.9536
angles: 90.00 90.00 90.00
Closest atoms and distances in Å follow each position.
Atoms (fractional coordinates):
Au  0.5000  0.0000  0.5000  4 Te 2.74
Ni  0.0000  0.5000  0.5000  4 Te 2.74
Te  0.0000  0.0000  0.0000  4 Au 2.74
Te  0.5000  0.5000  0.0000  4 Ni 2.74

Calculated values
* V: 93 Å³/f.u.
* SG: Pmmm (47)



## two
Computed, not measured: an optimized crystal structure of NiTe2Au at the PBE level of DFT.

abc: 3.8357 3.8357 7.1263
angles: 75.07 75.07 59.83
Closest atoms and distances in Å follow each position.
Atoms (fractional coordinates):
Au  0.7500  0.7500  0.7500  6 Te 2.92-2.99
Ni  0.2500  0.2500  0.2500  6 Te 2.62-2.65
Te  0.9806  0.9806  0.0403  3 Ni 2.62-2.65, 1 Au 2.92
Te  0.5194  0.5194  0.4597  3 Ni 2.62-2.65, 1 Au 2.92

Calculated values
* V: 87 Å³/f.u.
* SG: C2/m (12)



Quick look at relative energies in eV/atom: one 0.433; two 0.000.



## one
Computed, not measured: an optimized crystal structure of NiTe2Au at the PBE level of DFT.

abc: 3.0034 3.5992 7.7925
angles: 90.00 90.00 90.00
Closest atoms and distances in Å follow each position.
Atoms (fractional coordinates):
Au  0.5000  0.5000  0.7500  2 Au 3.00, 8 Te 3.26
Ni  0.5000  0.5000  0.2500  8 Te 2.86, 2 Ni 3.00
Te  0.0000  0.0000  0.0400  4 Ni 2.86, 2 Te 3.00
Te  0.0000  0.0000  0.4600  4 Ni 2.86, 2 Te 3.00

Calculated values
* V: 84 Å³/f.u.
* SG: Pmmm (47)



## two
Computed, not measured: an optimized crystal structure of NiTe2Au at the PBE level of DFT.

abc: 4.0263 4.0263 6.7242
angles: 72.58 72.58 60.00
Closest atoms and distances in Å follow each position.
Atoms (fractional coordinates):
Ni  0.6605  0.6605  0.0186  6 Te 2.59-2.72
Te  0.0685  0.0685  0.7946  3 Ni 2.72, 3 Au 3.02
Te  0.2673  0.2673  0.1982  3 Ni 2.59
Au  0.5038  0.5038  0.4887  6 Te 2.96-3.02, 1 Ni 2.97

Calculated values
* V: 89 Å³/f.u.
* SG: R3m (160)



Quick look at relative energies in eV/atom: one 0.293; two 0.000.



## one
Computed, not measured: an optimized crystal structure of NiTe2Au at the PBE level of DFT.

abc: 4.4567 4.6622 4.6629
angles: 71.28 90.00 90.00
Closest atoms and distances in Å follow each position.
Atoms (fractional coordinates):
Au  0.0000  0.5328  0.5324  2 Ni 2.72, 5 Te 2.74-2.88
Ni  0.5000  0.7374  0.7384  4 Te 2.57-2.79, 2 Au 2.72
Te  0.0000  0.9071  0.9068  2 Ni 2.57, 2 Au 2.84-2.88
Te  0.5000  0.3227  0.3224  2 Au 2.74, 2 Ni 2.79

Calculated values
* V: 92 Å³/f.u.
* SG: Amm2 (38)



## two
Computed, not measured: an optimized crystal structure of NiTe2Au at the PBE level of DFT.

abc: 6.6205 6.6205 6.6205
angles: 146.98 141.45 51.64
Closest atoms and distances in Å follow each position.
Atoms (fractional coordinates):
Ni  0.2500  0.7500  0.5000  4 Te 2.56
Te  0.1041  0.1041  0.0000  2 Ni 2.56, 2 Au 2.79
Te  0.3959  0.3959  0.0000  2 Ni 2.56, 2 Au 2.79
Au  0.7500  0.2500  0.5000  4 Te 2.79, 4 Ni 2.88

Calculated values
* V: 98 Å³/f.u.
* SG: Immm (71)



Quick look at relative energies in eV/atom: one 0.055; two 0.000.



## one
Computed, not measured: an optimized crystal structure of NiTe4Au at the PBE level of DFT.

abc: 6.2140 6.2140 6.2140
angles: 60.00 60.00 60.00
Closest atoms and distances in Å follow each position.
Atoms (fractional coordinates):
Ni  0.0000  0.0000  0.0000  12 Te 3.64, 4 Au 3.81
Te  0.8740  0.3753  0.3753  6 Te 3.10-3.11
Te  0.3753  0.3753  0.8740  6 Te 3.10-3.11
Te  0.3753  0.8740  0.3753  6 Te 3.10-3.11
Te  0.3753  0.3753  0.3753  6 Te 3.10-3.11
Au  0.7500  0.7500  0.7500  12 Te 3.64, 4 Ni 3.81

Calculated values
* V: 170 Å³/f.u.
* SG: F-43m (216)



## two
Computed, not measured: an optimized crystal structure of NiTe4Au at the PBE level of DFT.

abc: 4.0359 5.2433 7.3379
angles: 89.95 90.00 90.00
Closest atoms and distances in Å follow each position.
Atoms (fractional coordinates):
Ni  0.0000  0.0000  0.0000  6 Te 2.61-2.66
Te  0.0000  0.2408  0.3105  1 Ni 2.61, 2 Au 2.76
Te  0.5000  0.7193  0.1232  2 Ni 2.66, 1 Te 2.93
Te  0.5000  0.2807  0.8768  2 Ni 2.66, 1 Te 2.93
Te  0.0000  0.7592  0.6895  1 Ni 2.61, 2 Au 2.76
Au  0.5000  0.0000  0.5000  4 Te 2.76

Calculated values
* V: 155 Å³/f.u.
* SG: P2/m (10)



Quick look at relative energies in eV/atom: one 1.072; two 0.000.